Computed, not measured: an optimized crystal structure of YWO5 at the PBE with a Hubbard U level of DFT.

As for the total energy: -218.26 eV per cell.

The structure belongs to space group P2_1/c (No. 14); the cell edges are 5.314, 12.776 and 7.057 Å and the angles 90.00°, 116.86° and 90.00°. The distinct sites, in fractional coordinates, are Y at (0.137, 0.054, 0.289), W at (0.370, 0.141, 0.857), O at (0.043, 0.095, 0.575), O at (0.140, 0.082, 0.963), O at (0.294, 0.626, 0.407), O at (0.319, 0.220, 0.323) and O at (0.497, 0.065, 0.674).